Record 1
This record from Alexandria describes an optimized crystal structure of Al3BrO. The functional is PBE.

Summary:
E_form (uncorrected) in eV per atom: 1.1959

Lattice parameters (Å, degrees): 5.539 5.539 5.539 90.00 90.00 90.00
Space group Pm-3m (No. 221)
Unique sites:
1 Al 0.000 0.000 0.500
2 Br 0.000 0.000 0.000
3 O 0.500 0.500 0.500


Record 2
This record from Alexandria describes an optimized crystal structure of TlZnRh2. The functional is PBE.

Summary:
Energy of formation in meV per atom: 5

Lattice parameters (Å, degrees): 8.405 3.083 5.286 90.00 102.65 90.00
Space group C2/m (No. 12)
Unique sites:
1 Tl 0.000 0.000 0.000
2 Zn 0.000 0.500 0.500
3 Rh 0.243 0.000 0.717


Record 3
This record from Alexandria describes an optimized crystal structure of Nd4AlNi3. The functional is PBE.

Summary:
Energy of formation in meV per atom: -304

Lattice parameters (Å, degrees): 3.918 4.384 10.874 90.00 90.00 90.00
Space group Pmm2 (No. 25)
Unique sites:
1 Nd 0.000 0.000 0.000
2 Nd 0.000 0.500 0.262
3 Nd 0.500 0.000 0.472
4 Nd 0.500 0.500 0.776
5 Al 0.000 0.000 0.688
6 Ni 0.000 0.500 0.561
7 Ni 0.500 0.000 0.198
8 Ni 0.500 0.500 0.068


Record 4
This record from Alexandria describes an optimized crystal structure of Ca2SbAu3. The functional is PBE.

Summary:
E_form (uncorrected) in eV per atom: -0.7329

Lattice parameters (Å, degrees): 7.619 9.537 16.308 90.00 90.00 90.00
Space group Fmmm (No. 69)
Unique sites:
1 Ca 0.234 0.000 0.000
2 Ca 0.250 0.250 0.250
3 Sb 0.000 0.000 0.337
4 Au 0.000 0.000 0.169
5 Au 0.000 0.248 0.084